# Pm2NdDy2

A relaxed structure of Pm2NdDy2 (PBE, the Alexandria database).

a = 4.239 Å, b = 4.239 Å, c = 18.594 Å
α = 90.00°, β = 90.00°, γ = 90.00°
Space group I4/mmm (No. 139)
Symmetry-distinct sites (fractional):
Pm (0.000, 0.000, 0.198) (multiplicity 4)
Nd (0.000, 0.000, 0.000) (multiplicity 2)
Dy (0.000, 0.000, 0.399) (multiplicity 4)

Output
The value obtained for the total magnetization is 0.000 μB/f.u. For the energy relative to the elements, the calculation gives 109.5 meV per atom. The energy relative to the lowest polymorph listed for this composition comes out at 61.6 meV/atom. The total energy is -4.59 eV/atom.

# Pm2Nd4Dy3

A relaxed structure of Pm2Nd4Dy3 (PBE, the Alexandria database).

a = 17.481 Å, b = 3.579 Å, c = 9.864 Å
α = 90.00°, β = 100.07°, γ = 90.00°
Space group C2/m (No. 12)
Symmetry-distinct sites (fractional):
Pm (0.175, 0.000, 0.378) (multiplicity 4)
Nd (0.000, 0.000, 0.168) (multiplicity 4)
Nd (0.164, 0.000, 0.720) (multiplicity 4)
Dy (0.000, 0.500, 0.500) (multiplicity 2)
Dy (0.162, 0.500, 0.043) (multiplicity 4)

Output
The value obtained for the total magnetization is 0.000 μB/f.u. For the energy relative to the elements, the calculation gives 48.8 meV per atom. The energy relative to the lowest polymorph listed for this composition comes out at 0.0 meV/atom. The total energy is -4.66 eV/atom.

# Pm3Nd6Dy

A relaxed structure of Pm3Nd6Dy (PBE, the Alexandria database).

a = 11.026 Å, b = 19.393 Å, c = 6.513 Å
α = 90.00°, β = 90.00°, γ = 90.00°
Space group Cmc2_1 (No. 36)
Symmetry-distinct sites (fractional):
Pm (0.000, 0.116, 0.000) (multiplicity 4)
Pm (0.174, 0.383, 0.620) (multiplicity 8)
Nd (0.000, 0.222, 0.431) (multiplicity 4)
Nd (0.000, 0.466, 0.221) (multiplicity 4)
Nd (0.170, 0.041, 0.525) (multiplicity 8)
Nd (0.233, 0.208, 0.714) (multiplicity 8)
Dy (0.000, 0.309, 0.970) (multiplicity 4)

Output
The value obtained for the total magnetization is 0.000 μB/f.u. For the energy relative to the elements, the calculation gives 134.6 meV per atom. The energy relative to the lowest polymorph listed for this composition comes out at 0.0 meV/atom. The total energy is -4.61 eV/atom.

> Which value of energy relative to the elements does entry 2 give?

48.8 meV per atom

> Look up the energy relative to the elements of the third one.

134.6 meV per atom

> Which of these has the highest energy relative to the elements?

Pm3Nd6Dy